Below is an optimized crystal structure of Pr2SmDySb4, with properties calculated at the PBE level.

Output
- E: -44.7 eV for the cell shown
- Uncorrected formation energy: -1.17 eV per atom
- Mass density: 7.00 g/cm3
- DOS(E_F): 1.02 states/eV per cell
- Volume: 32.084 Å³ per atom
- Space group: No. 10

a = 4.496 Å, b = 7.780 Å, c = 7.783 Å
α = 70.51°, β = 90.00°, γ = 90.00°
Element x y z (fractional)
Sb (0.000, 0.743, 0.750)
Sb (0.500, 0.259, 0.745)
Sb (0.500, 0.741, 0.255)
Sb (0.000, 0.257, 0.250)
Sm (0.500, 0.500, 0.000)
Dy (0.000, 0.500, 0.500)
Pr (0.000, 0.000, 0.000)
Pr (0.500, 0.000, 0.500)